Record 1
# AlMoW2, relaxed, DFT PBE
data_AlMoW2
_chemical_formula_sum 'Al1 Mo1 W2'
_space_group_name_H-M_alt 'P 1'
_space_group_IT_number 1
_space_group_name_Hall 'P 1'
_cell_length_a 3.315
_cell_length_b 3.315
_cell_length_c 5.734
_cell_angle_alpha 90.00
_cell_angle_beta 90.00
_cell_angle_gamma 90.00
loop_
_atom_site_label
_atom_site_fract_x
_atom_site_fract_y
_atom_site_fract_z
Al1 0.000 0.000 0.000
Mo1 0.000 0.000 0.500
W1 0.500 0.500 0.243
W2 0.500 0.500 0.757
# E_tot in eV/atom: -10.01
# Energy relative to the elements in eV per atom: 0.1074



Record 2
# Sr2HfBi2, relaxed, DFT PBE
data_Sr2HfBi2
_chemical_formula_sum 'Sr2 Hf1 Bi2'
_space_group_name_H-M_alt 'P 1'
_space_group_IT_number 1
_space_group_name_Hall 'P 1'
_cell_length_a 10.433
_cell_length_b 10.433
_cell_length_c 10.433
_cell_angle_alpha 155.53
_cell_angle_beta 155.53
_cell_angle_gamma 34.89
loop_
_atom_site_label
_atom_site_fract_x
_atom_site_fract_y
_atom_site_fract_z
Sr1 0.106 0.106 0.000
Sr2 0.894 0.894 0.000
Hf1 0.500 0.500 0.000
Bi1 0.250 0.750 0.500
Bi2 0.750 0.250 0.500
# E_tot in eV/atom: -3.85
# Energy above the lowest structure with this stoichiometry in eV/atom: 0.765
# Energy relative to the elements in eV per atom: 0.3663



Record 3
# Sc2HN, relaxed, DFT PBE
data_Sc2HN
_chemical_formula_sum 'Sc4 H2 N2'
_space_group_name_H-M_alt 'P 1'
_space_group_IT_number 1
_space_group_name_Hall 'P 1'
_cell_length_a 5.177
_cell_length_b 5.177
_cell_length_c 5.177
_cell_angle_alpha 116.01
_cell_angle_beta 116.01
_cell_angle_gamma 97.05
loop_
_atom_site_label
_atom_site_fract_x
_atom_site_fract_y
_atom_site_fract_z
Sc1 0.125 0.125 0.500
Sc2 0.375 0.875 0.000
Sc3 0.625 0.625 0.500
Sc4 0.875 0.375 0.000
H1 0.000 0.000 0.000
H2 0.750 0.250 0.500
N1 0.250 0.750 0.500
N2 0.500 0.500 0.000
# E_tot in eV/atom: -7.00



Record 4
# ThNiSn, relaxed, DFT PBE
data_ThNiSn
_chemical_formula_sum 'Th1 Ni1 Sn1'
_space_group_name_H-M_alt 'P 1'
_space_group_IT_number 1
_space_group_name_Hall 'P 1'
_cell_length_a 4.657
_cell_length_b 4.657
_cell_length_c 4.657
_cell_angle_alpha 60.00
_cell_angle_beta 60.00
_cell_angle_gamma 60.00
loop_
_atom_site_label
_atom_site_fract_x
_atom_site_fract_y
_atom_site_fract_z
Th1 0.000 0.000 0.000
Ni1 0.750 0.750 0.750
Sn1 0.500 0.500 0.500
# E_tot in eV/atom: -6.42
# Energy relative to the elements in eV per atom: -0.6879



Record 5
# GaAgI6, relaxed, DFT PBE
data_GaAgI6
_chemical_formula_sum 'Ga1 Ag1 I6'
_space_group_name_H-M_alt 'P 1'
_space_group_IT_number 1
_space_group_name_Hall 'P 1'
_cell_length_a 6.568
_cell_length_b 6.568
_cell_length_c 7.561
_cell_angle_alpha 92.29
_cell_angle_beta 92.29
_cell_angle_gamma 103.93
loop_
_atom_site_label
_atom_site_fract_x
_atom_site_fract_y
_atom_site_fract_z
Ga1 0.000 0.000 0.000
Ag1 0.000 0.000 0.500
I1 0.046 0.689 0.232
I2 0.311 0.311 0.224
I3 0.311 0.954 0.768
I4 0.689 0.046 0.232
I5 0.689 0.689 0.776
I6 0.954 0.311 0.768
# E_tot in eV/atom: -2.03
# E_form (uncorrected) in eV per formula unit: -1.069
# Energy above the lowest structure with this stoichiometry in eV/atom: 0.011



Record 6
# TlHg6Pb8, relaxed, DFT PBE
data_TlHg6Pb8
_chemical_formula_sum 'Tl1 Hg6 Pb8'
_space_group_name_H-M_alt 'P 1'
_space_group_IT_number 1
_space_group_name_Hall 'P 1'
_cell_length_a 8.168
_cell_length_b 8.168
_cell_length_c 8.168
_cell_angle_alpha 70.07
_cell_angle_beta 70.07
_cell_angle_gamma 70.07
loop_
_atom_site_label
_atom_site_fract_x
_atom_site_fract_y
_atom_site_fract_z
Tl1 0.000 0.000 0.000
Hg1 0.141 0.370 0.601
Hg2 0.370 0.601 0.141
Hg3 0.399 0.859 0.630
Hg4 0.601 0.141 0.370
Hg5 0.630 0.399 0.859
Hg6 0.859 0.630 0.399
Pb1 0.142 0.824 0.421
Pb2 0.176 0.579 0.858
Pb3 0.234 0.234 0.234
Pb4 0.421 0.142 0.824
Pb5 0.579 0.858 0.176
Pb6 0.766 0.766 0.766
Pb7 0.824 0.421 0.142
Pb8 0.858 0.176 0.579
# E_tot in eV/atom: -2.20
# Energy relative to the elements in eV per atom: 0.0606



Record 7
# LiBeSi2, relaxed, DFT PBE
data_LiBeSi2
_chemical_formula_sum 'Li1 Be1 Si2'
_space_group_name_H-M_alt 'P 1'
_space_group_IT_number 1
_space_group_name_Hall 'P 1'
_cell_length_a 7.887
_cell_length_b 7.887
_cell_length_c 7.887
_cell_angle_alpha 21.17
_cell_angle_beta 21.17
_cell_angle_gamma 21.17
loop_
_atom_site_label
_atom_site_fract_x
_atom_site_fract_y
_atom_site_fract_z
Li1 0.000 0.000 0.000
Be1 0.240 0.240 0.240
Si1 0.502 0.502 0.502
Si2 0.757 0.757 0.757
# E_tot in eV/atom: -3.80
# E_form (uncorrected) in eV per formula unit: 1.282



Record 8
# Tm3Si3Os, relaxed, DFT PBE
data_Tm3Si3Os
_chemical_formula_sum 'Tm6 Si6 Os2'
_space_group_name_H-M_alt 'P 1'
_space_group_IT_number 1
_space_group_name_Hall 'P 1'
_cell_length_a 5.632
_cell_length_b 5.632
_cell_length_c 13.385
_cell_angle_alpha 109.25
_cell_angle_beta 109.25
_cell_angle_gamma 43.62
loop_
_atom_site_label
_atom_site_fract_x
_atom_site_fract_y
_atom_site_fract_z
Tm1 0.018 0.018 0.374
Tm2 0.103 0.103 0.920
Tm3 0.244 0.244 0.229
Tm4 0.756 0.756 0.771
Tm5 0.897 0.897 0.080
Tm6 0.982 0.982 0.626
Si1 0.367 0.367 0.458
Si2 0.387 0.387 0.926
Si3 0.451 0.451 0.763
Si4 0.549 0.549 0.237
Si5 0.613 0.613 0.074
Si6 0.633 0.633 0.542
Os1 0.252 0.252 0.588
Os2 0.748 0.748 0.412
# E_tot in eV/atom: -6.66
# E_form (uncorrected) in eV per formula unit: -5.712



Record 9
# K2RbTl, relaxed, DFT PBE
data_K2RbTl
_chemical_formula_sum 'K2 Rb1 Tl1'
_space_group_name_H-M_alt 'P 1'
_space_group_IT_number 1
_space_group_name_Hall 'P 1'
_cell_length_a 6.711
_cell_length_b 6.711
_cell_length_c 6.711
_cell_angle_alpha 59.76
_cell_angle_beta 59.76
_cell_angle_gamma 59.76
loop_
_atom_site_label
_atom_site_fract_x
_atom_site_fract_y
_atom_site_fract_z
K1 0.000 0.000 0.000
K2 0.250 0.250 0.250
Rb1 0.499 0.499 0.499
Tl1 0.749 0.749 0.749
# E_tot in eV/atom: -1.34
# Energy above the lowest structure with this stoichiometry in eV/atom: 0.056
# Energy relative to the elements in eV per atom: 0.0381



Record 10
# Dy2Ho4Tl3H2, relaxed, DFT PBE
data_Dy2Ho4Tl3H2
_chemical_formula_sum 'Dy2 Ho4 Tl3 H2'
_space_group_name_H-M_alt 'P 1'
_space_group_IT_number 1
_space_group_name_Hall 'P 1'
_cell_length_a 12.653
_cell_length_b 12.653
_cell_length_c 12.653
_cell_angle_alpha 158.49
_cell_angle_beta 158.49
_cell_angle_gamma 30.61
loop_
_atom_site_label
_atom_site_fract_x
_atom_site_fract_y
_atom_site_fract_z
Dy1 0.197 0.197 0.000
Dy2 0.803 0.803 0.000
Ho1 0.084 0.584 0.500
Ho2 0.416 0.916 0.500
Ho3 0.584 0.084 0.500
Ho4 0.916 0.416 0.500
Tl1 0.326 0.326 0.000
Tl2 0.500 0.500 0.000
Tl3 0.674 0.674 0.000
H1 0.101 0.101 0.000
H2 0.899 0.899 0.000
# E_tot in eV/atom: -4.03



Record 11
# Hf2NiIr, relaxed, DFT PBE
data_Hf2NiIr
_chemical_formula_sum 'Hf2 Ni1 Ir1'
_space_group_name_H-M_alt 'P 1'
_space_group_IT_number 1
_space_group_name_Hall 'P 1'
_cell_length_a 4.576
_cell_length_b 4.576
_cell_length_c 4.576
_cell_angle_alpha 60.00
_cell_angle_beta 60.00
_cell_angle_gamma 60.00
loop_
_atom_site_label
_atom_site_fract_x
_atom_site_fract_y
_atom_site_fract_z
Hf1 0.250 0.250 0.250
Hf2 0.750 0.750 0.750
Ni1 0.000 0.000 0.000
Ir1 0.500 0.500 0.500
# E_tot in eV/atom: -9.35
# Energy relative to the elements in eV per atom: -0.7128



Record 12
# TiAl2Ga, relaxed, DFT PBE
data_TiAl2Ga
_chemical_formula_sum 'Ti1 Al2 Ga1'
_space_group_name_H-M_alt 'P 1'
_space_group_IT_number 1
_space_group_name_Hall 'P 1'
_cell_length_a 5.636
_cell_length_b 5.636
_cell_length_c 5.636
_cell_angle_alpha 42.83
_cell_angle_beta 42.83
_cell_angle_gamma 42.83
loop_
_atom_site_label
_atom_site_fract_x
_atom_site_fract_y
_atom_site_fract_z
Ti1 0.000 0.000 0.000
Al1 0.419 0.419 0.419
Al2 0.596 0.596 0.596
Ga1 0.183 0.183 0.183
# E_tot in eV/atom: -4.50
# Energy relative to the elements in eV per atom: 0.1060